No. 1
# HfCo3Mo | the Alexandria database | PBE | relaxed
data_HfCo3Mo
_chemical_formula_sum 'Hf1 Co3 Mo1'
_cell_length_a 4.3668
_cell_length_b 4.3668
_cell_length_c 4.3668
_cell_angle_alpha 90.00
_cell_angle_beta 90.00
_cell_angle_gamma 90.00
_space_group_name_H-M_alt 'P 1'
_space_group_IT_number 1
_space_group_name_Hall 'P 1'
loop_
_atom_site_label
_atom_site_fract_x
_atom_site_fract_y
_atom_site_fract_z
Co1 0.5000 0.0000 0.0000
Co2 0.0000 0.0000 0.5000
Co3 0.0000 0.5000 0.0000
Hf1 0.5000 0.5000 0.5000
Mo1 0.0000 0.0000 0.0000
# formation energy: 0.93 eV per atom
# excess energy over the best structure of this formula in the dataset: 0.00 eV per formula unit
# volume: 83.3 Å³ per cell
# space group: Pm-3m (221)
# D(E_F): 7.23 states/eV per cell

---

No. 2
# HfCo2Mo2 | the Alexandria database | PBE | relaxed
data_HfCo2Mo2
_chemical_formula_sum 'Hf2 Co4 Mo4'
_cell_length_a 7.4610
_cell_length_b 7.4610
_cell_length_c 2.6662
_cell_angle_alpha 90.00
_cell_angle_beta 90.00
_cell_angle_gamma 90.00
_space_group_name_H-M_alt 'P 1'
_space_group_IT_number 1
_space_group_name_Hall 'P 1'
loop_
_atom_site_label
_atom_site_fract_x
_atom_site_fract_y
_atom_site_fract_z
Co1 0.3261 0.1739 0.5000
Co2 0.8261 0.3261 0.5000
Co3 0.6739 0.8261 0.5000
Co4 0.1739 0.6739 0.5000
Mo1 0.1231 0.3769 0.0000
Mo2 0.8769 0.6231 0.0000
Mo3 0.6231 0.1231 0.0000
Mo4 0.3769 0.8769 0.0000
Hf1 0.5000 0.5000 0.0000
Hf2 0.0000 0.0000 0.0000
# formation energy: 0.14 eV per atom
# excess energy over the best structure of this formula in the dataset: 0.39 eV per formula unit
# volume: 148.4 Å³ per cell
# space group: P4/mbm (127)
# D(E_F): 11.24 states/eV per cell

---

No. 3
# Hf6Co2Mo | the Alexandria database | PBE | relaxed
data_Hf6Co2Mo
_chemical_formula_sum 'Hf6 Co2 Mo1'
_cell_length_a 3.2721
_cell_length_b 7.6896
_cell_length_c 8.0763
_cell_angle_alpha 119.21
_cell_angle_beta 101.69
_cell_angle_gamma 90.00
_space_group_name_H-M_alt 'P 1'
_space_group_IT_number 1
_space_group_name_Hall 'P 1'
loop_
_atom_site_label
_atom_site_fract_x
_atom_site_fract_y
_atom_site_fract_z
Co1 0.8753 0.7849 0.7505
Co2 0.1247 0.2151 0.2495
Hf1 0.6511 0.4926 0.3023
Hf2 0.7150 0.1152 0.4299
Hf3 0.3489 0.5074 0.6977
Hf4 0.0563 0.7432 0.1125
Hf5 0.2850 0.8848 0.5701
Hf6 0.9437 0.2568 0.8875
Mo1 0.5000 0.0000 0.0000
# formation energy: -0.09 eV per atom
# volume: 172.5 Å³ per cell
# space group: C2/m (12)
# D(E_F): 12.87 states/eV per cell

---

No. 4
# HfCo2Mo | the Alexandria database | PBE | relaxed
data_HfCo2Mo
_chemical_formula_sum 'Hf2 Co4 Mo2'
_cell_length_a 3.9767
_cell_length_b 3.9767
_cell_length_c 8.6200
_cell_angle_alpha 76.66
_cell_angle_beta 76.66
_cell_angle_gamma 90.00
_space_group_name_H-M_alt 'P 1'
_space_group_IT_number 1
_space_group_name_Hall 'P 1'
loop_
_atom_site_label
_atom_site_fract_x
_atom_site_fract_y
_atom_site_fract_z
Co1 0.3750 0.4079 0.7500
Co2 0.5921 0.1250 0.2500
Co3 0.1579 0.6250 0.2500
Co4 0.8750 0.8421 0.7500
Mo1 0.5000 0.5000 0.0000
Mo2 0.2500 0.7500 0.5000
Hf1 0.0000 0.0000 0.0000
Hf2 0.7500 0.2500 0.5000
# formation energy: 0.58 eV per atom
# volume: 128.9 Å³ per cell
# space group: I-42d (122)
# D(E_F): 5.12 states/eV per cell

---

No. 5
# HfCoMo2 | the Alexandria database | PBE | relaxed
data_HfCoMo2
_chemical_formula_sum 'Hf2 Co2 Mo4'
_cell_length_a 7.3437
_cell_length_b 7.3437
_cell_length_c 5.7604
_cell_angle_alpha 50.40
_cell_angle_beta 50.40
_cell_angle_gamma 90.00
_space_group_name_H-M_alt 'P 1'
_space_group_IT_number 1
_space_group_name_Hall 'P 1'
loop_
_atom_site_label
_atom_site_fract_x
_atom_site_fract_y
_atom_site_fract_z
Co1 0.5000 0.5000 0.0000
Co2 0.2500 0.7500 0.5000
Hf1 0.0000 0.0000 0.0000
Hf2 0.7500 0.2500 0.5000
Mo1 0.8750 0.8308 0.7500
Mo2 0.5808 0.1250 0.2500
Mo3 0.1692 0.6250 0.2500
Mo4 0.3750 0.4192 0.7500
# formation energy: 0.39 eV per atom
# excess energy over the best structure of this formula in the dataset: 0.47 eV per formula unit
# volume: 134.5 Å³ per cell
# space group: I-42d (122)
# D(E_F): 7.10 states/eV per cell

---

No. 6
# HfNbCoMo | the Alexandria database | PBE | relaxed
data_HfNbCoMo
_chemical_formula_sum 'Hf1 Nb1 Co1 Mo1'
_cell_length_a 4.5176
_cell_length_b 4.5176
_cell_length_c 4.5176
_cell_angle_alpha 60.00
_cell_angle_beta 60.00
_cell_angle_gamma 60.00
_space_group_name_H-M_alt 'P 1'
_space_group_IT_number 1
_space_group_name_Hall 'P 1'
loop_
_atom_site_label
_atom_site_fract_x
_atom_site_fract_y
_atom_site_fract_z
Nb1 0.7500 0.7500 0.7500
Mo1 0.0000 0.0000 0.0000
Hf1 0.2500 0.2500 0.2500
Co1 0.5000 0.5000 0.5000
# formation energy: -0.16 eV per atom
# volume: 65.2 Å³ per cell
# space group: F-43m (216)
# D(E_F): 1.57 states/eV per cell

---

What is the D(E_F) in the third record? 12.87 states/eV per cell

---

The highest volume belongs to which entry? Hf6Co2Mo

---

What is the formation energy in the sixth record? -0.16 eV per atom